(1)
The following is a DFT calculation (PBE-GGA) of an optimized crystal structure of Tm6Tl5Cd.

```
Tm6Tl5Cd
1.0
3.185 -5.536 0.000
3.185 5.536 0.000
-2.149 0.000 9.536
Tm Tl Cd
6 5 1
Direct
0.082 0.413 0.748 Tm
0.247 0.247 0.250 Tm
0.413 0.082 0.748 Tm
0.587 0.918 0.252 Tm
0.753 0.753 0.750 Tm
0.918 0.587 0.252 Tm
0.169 0.831 0.000 Tl
0.335 0.665 0.500 Tl
0.500 0.500 0.000 Tl
0.665 0.335 0.500 Tl
0.831 0.169 0.000 Tl
0.000 0.000 0.500 Cd
```

Properties
Energy of formation from the pure elements: -0.23 eV per atom
DOS at the Fermi energy: 7.5 states/eV/cell

(2)
The following is a DFT calculation (PBE-GGA) of an optimized crystal structure of Tm11Tl9Cd4.

```
Tm11Tl9Cd4
1.0
8.688 -10.251 0.000
8.688 10.251 0.000
0.000 0.000 3.516
Tm Tl Cd
11 9 4
Direct
0.000 0.000 0.000 Tm
0.070 0.409 0.000 Tm
0.183 0.817 0.000 Tm
0.230 0.230 0.000 Tm
0.359 0.641 0.000 Tm
0.409 0.070 0.000 Tm
0.591 0.930 0.000 Tm
0.641 0.359 0.000 Tm
0.770 0.770 0.000 Tm
0.817 0.183 0.000 Tm
0.930 0.591 0.000 Tm
0.024 0.206 0.500 Tl
0.144 0.612 0.500 Tl
0.206 0.024 0.500 Tl
0.388 0.856 0.500 Tl
0.500 0.500 0.500 Tl
0.612 0.144 0.500 Tl
0.794 0.976 0.500 Tl
0.856 0.388 0.500 Tl
0.976 0.794 0.500 Tl
0.273 0.432 0.500 Cd
0.432 0.273 0.500 Cd
0.568 0.727 0.500 Cd
0.727 0.568 0.500 Cd
```

Properties
Energy of formation from the pure elements: -0.25 eV per atom
DOS at the Fermi energy: 18.9 states/eV/cell